Record 1
AcPrTe2 | PBE | optimized geometry

Results
density: 7.355 g/cm³
total moment: 0.00 μB/cell
total energy: -5.25 eV per atom
formation energy from raw total energies: -561 kJ/mol of formula units
energy relative to the lowest polymorph listed for this composition: 0.0122 eV/atom

abc: 4.5249 4.5249 15.8676
angles: 90.00 90.00 120.00
With the nearest neighbours (Å) after each atom.
Positions (direct):
1 Ac 0.6667 0.3333 0.2500  6 Te 3.35
2 Ac 0.3333 0.6667 0.7500  6 Te 3.35
3 Pr 0.0000 0.0000 0.5000  6 Te 3.21
4 Pr 0.0000 0.0000 0.0000  6 Te 3.21
5 Te 0.3333 0.6667 0.3820  3 Pr 3.21, 3 Ac 3.35
6 Te 0.6667 0.3333 0.8820  3 Pr 3.21, 3 Ac 3.35
7 Te 0.6667 0.3333 0.6180  3 Pr 3.21, 3 Ac 3.35
8 Te 0.3333 0.6667 0.1180  3 Pr 3.21, 3 Ac 3.35



Record 2
Ac2PrTe | PBE | optimized geometry

Results
density: 7.736 g/cm³
total moment: 0.00 μB/cell
total energy: -4.61 eV per atom
formation energy from raw total energies: -222 kJ/mol of formula units
energy relative to the lowest polymorph listed for this composition: 0.0000 eV/atom

abc: 4.0800 4.0800 9.3165
angles: 90.00 90.00 90.00
With the nearest neighbours (Å) after each atom.
Positions (direct):
1 Pr 0.5000 0.5000 0.0000  8 Ac 3.90, 4 Pr 4.08
2 Ac 0.0000 0.0000 0.7188  4 Te 3.53, 4 Pr 3.90
3 Ac 0.0000 0.0000 0.2812  4 Te 3.53, 4 Pr 3.90
4 Te 0.5000 0.5000 0.5000  8 Ac 3.53



Record 3
AcPr2Te4 | PBE | optimized geometry

Results
density: 6.484 g/cm³
total moment: 0.00 μB/cell
total energy: -5.23 eV per atom
formation energy from raw total energies: -1003 kJ/mol of formula units

abc: 4.5188 7.7806 15.5154
angles: 90.00 90.00 106.88
With the nearest neighbours (Å) after each atom.
Positions (direct):
1 Ac 0.6208 0.2415 0.7500  6 Te 3.32-3.38
2 Ac 0.3792 0.7585 0.2500  6 Te 3.32-3.38
3 Pr 0.1305 0.2610 0.4357  6 Te 3.14-3.25
4 Pr 0.8695 0.7390 0.9357  6 Te 3.14-3.25
5 Pr 0.1305 0.2610 0.0643  6 Te 3.14-3.25
6 Pr 0.8695 0.7390 0.5643  6 Te 3.14-3.25
7 Te 0.7745 0.5490 0.1229  3 Pr 3.23-3.25, 2 Ac 3.38
8 Te 0.7745 0.5490 0.3771  3 Pr 3.23-3.25, 2 Ac 3.38
9 Te 0.2255 0.4510 0.8771  3 Pr 3.23-3.25, 2 Ac 3.38
10 Te 0.2255 0.4510 0.6229  3 Pr 3.23-3.25, 2 Ac 3.38
11 Te 0.9573 0.9146 0.7500  2 Pr 3.16, 2 Ac 3.32
12 Te 0.0427 0.0854 0.2500  2 Pr 3.16, 2 Ac 3.32
13 Te 0.5000 0.0000 0.0000  4 Pr 3.14
14 Te 0.5000 0.0000 0.5000  4 Pr 3.14